1.
First-principles (PBE) data for crystalline ScBe2FeN at its relaxed geometry, as listed in Alexandria via LeMat-Bulk.

Cell: 4.631 3.850 4.631 Å, 90.00 90.00 90.00°
Fractional positions:
Sc1 0.000 0.000 0.000
Be1 0.000 0.000 0.500
Be2 0.500 0.000 0.000
Fe1 0.500 0.500 0.500
N1 0.000 0.500 0.000

## Properties
Its space group is P4/mmm (123). The formation energy (no corrections) is 1.812 eV/atom. The total energy comes out at -4.30 eV/atom. The density of states at the Fermi level is 1.0782 states/eV per atom. The magnetization comes out at 0.36 μB per cell.

2.
First-principles (PBE) data for crystalline Mn2GaPt4 at its relaxed geometry, as listed in Alexandria via LeMat-Bulk.

Cell: 4.042 5.332 5.332 Å, 93.62 90.00 90.00°
Fractional positions:
Mn1 0.000 0.793 0.207
Mn2 0.000 0.207 0.793
Ga1 0.500 0.500 0.500
Pt1 0.000 0.716 0.716
Pt2 0.000 0.284 0.284
Pt3 0.500 0.000 0.500
Pt4 0.500 0.500 0.000

## Properties
Its space group is Cmmm (65). The energy of formation from the pure elements is -0.368 eV/atom. The total energy comes out at -6.87 eV/atom. The density of states at the Fermi level is 0.3850 states/eV per atom. The magnetization comes out at 9.01 μB per cell.

density of states at the Fermi level of number 1 (ScBe2FeN)? 1.0782 states/eV per atom